Model A:
# Y2BePb | Alexandria | PBE | optimized geometry
# DOS(E_F) = 0.538 states/eV/atom
data_Y2BePb
_chemical_formula_sum 'Y4 Be2 Pb2'
_symmetry_space_group_name_H-M 'I 4/m m m'
_symmetry_Int_Tables_number 139
_symmetry_space_group_name_Hall '-I 4 2'
_cell_length_a 4.8880
_cell_length_b 4.8880
_cell_length_c 8.1365
_cell_angle_alpha 90.00
_cell_angle_beta 90.00
_cell_angle_gamma 90.00
loop_
_atom_site_label
_atom_site_fract_x
_atom_site_fract_y
_atom_site_fract_z
Y1 0.0000 0.5000 0.2500
Be1 0.0000 0.0000 0.0000
Pb1 0.0000 0.0000 0.5000

***

Model B:
# Y2BePb | Alexandria | PBE | optimized geometry
# DOS(E_F) = 0.794 states/eV/atom
data_Y2BePb
_chemical_formula_sum 'Y2 Be1 Pb1'
_symmetry_space_group_name_H-M 'P 4 m m'
_symmetry_Int_Tables_number 99
_cell_length_a 3.4697
_cell_length_b 3.4697
_cell_length_c 8.4163
_cell_angle_alpha 90.00
_cell_angle_beta 90.00
_cell_angle_gamma 90.00
loop_
_symmetry_equiv_pos_as_xyz
'x,y,z'
'-y,x,z'
'-x,-y,z'
'y,-x,z'
'-x,y,z'
'y,x,z'
'x,-y,z'
'-y,-x,z'
loop_
_atom_site_label
_atom_site_fract_x
_atom_site_fract_y
_atom_site_fract_z
Y1 0.0000 0.0000 0.0000
Y2 0.5000 0.5000 0.3139
Be1 0.0000 0.0000 0.5236
Pb1 0.5000 0.5000 0.7097

***

Relative calculated energies, zero for the most stable structure, unit eV/atom: model A 0.000; model B 0.181.

***

Model A:
# YBePb3 | Alexandria | PBE | optimized geometry
# DOS(E_F) = 1.657 states/eV/atom
data_YBePb3
_chemical_formula_sum 'Y1 Be1 Pb3'
_symmetry_space_group_name_H-M 'P m -3 m'
_symmetry_Int_Tables_number 221
_symmetry_space_group_name_Hall '-P 4 2 3'
_cell_length_a 5.9156
_cell_length_b 5.9156
_cell_length_c 5.9156
_cell_angle_alpha 90.00
_cell_angle_beta 90.00
_cell_angle_gamma 90.00
loop_
_atom_site_label
_atom_site_fract_x
_atom_site_fract_y
_atom_site_fract_z
Y1 0.0000 0.0000 0.0000
Be1 0.5000 0.5000 0.5000
Pb1 0.0000 0.0000 0.5000

***

Model B:
# YBePb3 | Alexandria | PBE | optimized geometry
# DOS(E_F) = 0.534 states/eV/atom
data_YBePb3
_chemical_formula_sum 'Y1 Be1 Pb3'
_symmetry_space_group_name_H-M 'P m -3 m'
_symmetry_Int_Tables_number 221
_symmetry_space_group_name_Hall '-P 4 2 3'
_cell_length_a 5.1462
_cell_length_b 5.1462
_cell_length_c 5.1462
_cell_angle_alpha 90.00
_cell_angle_beta 90.00
_cell_angle_gamma 90.00
loop_
_atom_site_label
_atom_site_fract_x
_atom_site_fract_y
_atom_site_fract_z
Y1 0.0000 0.0000 0.0000
Be1 0.5000 0.5000 0.5000
Pb1 0.0000 0.5000 0.5000

***

Relative calculated energies, zero for the most stable structure, unit eV/atom: model A 0.796; model B 0.000.

***

Model A:
# Be3ZnPb | Alexandria | PBE | optimized geometry
# DOS(E_F) = 0.587 states/eV/atom
data_Be3ZnPb
_chemical_formula_sum 'Be3 Zn1 Pb1'
_symmetry_space_group_name_H-M 'P m -3 m'
_symmetry_Int_Tables_number 221
_symmetry_space_group_name_Hall '-P 4 2 3'
_cell_length_a 4.7084
_cell_length_b 4.7084
_cell_length_c 4.7084
_cell_angle_alpha 90.00
_cell_angle_beta 90.00
_cell_angle_gamma 90.00
loop_
_atom_site_label
_atom_site_fract_x
_atom_site_fract_y
_atom_site_fract_z
Be1 0.0000 0.0000 0.5000
Zn1 0.5000 0.5000 0.5000
Pb1 0.0000 0.0000 0.0000

***

Model B:
# Be3ZnPb | Alexandria | PBE | optimized geometry
# DOS(E_F) = 0.345 states/eV/atom
data_Be3ZnPb
_chemical_formula_sum 'Be3 Zn1 Pb1'
_symmetry_space_group_name_H-M 'P m -3 m'
_symmetry_Int_Tables_number 221
_symmetry_space_group_name_Hall '-P 4 2 3'
_cell_length_a 4.3311
_cell_length_b 4.3311
_cell_length_c 4.3311
_cell_angle_alpha 90.00
_cell_angle_beta 90.00
_cell_angle_gamma 90.00
loop_
_atom_site_label
_atom_site_fract_x
_atom_site_fract_y
_atom_site_fract_z
Be1 0.0000 0.0000 0.5000
Zn1 0.0000 0.0000 0.0000
Pb1 0.5000 0.5000 0.5000

***

Relative calculated energies, zero for the most stable structure, unit eV/atom: model A 0.629; model B 0.000.

***

Model A:
# Be2ZnPb | Alexandria | PBE | optimized geometry
# DOS(E_F) = 0.559 states/eV/atom
data_Be2ZnPb
_chemical_formula_sum 'Be8 Zn4 Pb4'
_symmetry_space_group_name_H-M 'F -4 3 m'
_symmetry_Int_Tables_number 216
_symmetry_space_group_name_Hall 'F -4 2 3'
_cell_length_a 6.4871
_cell_length_b 6.4871
_cell_length_c 6.4871
_cell_angle_alpha 90.00
_cell_angle_beta 90.00
_cell_angle_gamma 90.00
loop_
_atom_site_label
_atom_site_fract_x
_atom_site_fract_y
_atom_site_fract_z
Be1 0.0000 0.0000 0.0000
Be2 0.2500 0.2500 0.2500
Zn1 0.0000 0.0000 0.5000
Pb1 0.2500 0.2500 0.7500

***

Model B:
# Be2ZnPb | Alexandria | PBE | optimized geometry
# DOS(E_F) = 0.529 states/eV/atom
data_Be2ZnPb
_chemical_formula_sum 'Be2 Zn1 Pb1'
_symmetry_space_group_name_H-M 'P m m 2'
_symmetry_Int_Tables_number 25
_cell_length_a 2.9694
_cell_length_b 3.0484
_cell_length_c 7.2784
_cell_angle_alpha 90.00
_cell_angle_beta 90.00
_cell_angle_gamma 90.00
loop_
_symmetry_equiv_pos_as_xyz
'x,y,z'
'-x,-y,z'
'-x,y,z'
'x,-y,z'
loop_
_atom_site_label
_atom_site_fract_x
_atom_site_fract_y
_atom_site_fract_z
Be1 0.0000 0.0000 0.0000
Be2 0.5000 0.5000 0.1263
Zn1 0.5000 0.5000 0.7987
Pb1 0.0000 0.0000 0.4312

***

Model C:
# Be2ZnPb | Alexandria | PBE | optimized geometry
# DOS(E_F) = 0.215 states/eV/atom
data_Be2ZnPb
_chemical_formula_sum 'Be4 Zn2 Pb2'
_symmetry_space_group_name_H-M 'C m m m'
_symmetry_Int_Tables_number 65
_symmetry_space_group_name_Hall '-C 2 2'
_cell_length_a 5.4087
_cell_length_b 7.6590
_cell_length_c 3.1808
_cell_angle_alpha 90.00
_cell_angle_beta 90.00
_cell_angle_gamma 90.00
loop_
_atom_site_label
_atom_site_fract_x
_atom_site_fract_y
_atom_site_fract_z
Be1 0.2500 0.2500 0.0000
Zn1 0.0000 0.0000 0.5000
Pb1 0.0000 0.5000 0.5000

***

Relative calculated energies, zero for the most stable structure, unit eV/atom: model A 0.312; model B 0.000; model C 0.207.